A plane-wave DFT calculation with PBE was carried out for crystalline Mg3P2H16O16 at its relaxed geometry.

Output
- Excess energy over the best structure of this formula in the dataset: 0 meV per atom
- Calculated density: 2.11 g/cm³
- DOS at the Fermi energy: 0.000 states/eV per atom
- Space-group type: C2/c (15)
- Total DFT energy (no corrections): -416.289 eV/cell

POSCAR file:
```
Mg3P2H16O16
1.0
2.348 -13.876 0.000
2.348 13.876 0.000
-2.019 0.000 9.838
Mg P H O
6 4 32 32
Direct
0.075 0.925 0.750
0.183 0.817 0.750
0.373 0.627 0.750
0.627 0.373 0.250
0.817 0.183 0.250
0.925 0.075 0.250
0.296 0.557 0.064
0.443 0.704 0.436
0.557 0.296 0.564
0.704 0.443 0.936
0.018 0.486 0.787
0.076 0.899 0.379
0.083 0.462 0.563
0.101 0.924 0.121
0.139 0.587 0.125
0.153 0.817 0.374
0.183 0.847 0.126
0.186 0.208 0.650
0.194 0.344 0.546
0.208 0.186 0.150
0.332 0.407 0.124
0.344 0.194 0.046
0.407 0.332 0.624
0.413 0.861 0.375
0.462 0.083 0.063
0.486 0.018 0.287
0.514 0.982 0.713
0.538 0.917 0.937
0.587 0.139 0.625
0.593 0.668 0.376
0.656 0.806 0.954
0.668 0.593 0.876
0.792 0.814 0.850
0.806 0.656 0.454
0.814 0.792 0.350
0.817 0.153 0.874
0.847 0.183 0.626
0.861 0.413 0.875
0.899 0.076 0.879
0.917 0.538 0.437
0.924 0.101 0.621
0.982 0.514 0.213
0.029 0.395 0.652
0.049 0.573 0.845
0.054 0.314 0.148
0.139 0.288 0.640
0.148 0.407 0.909
0.165 0.214 0.148
0.211 0.565 0.408
0.214 0.165 0.648
0.288 0.139 0.140
0.300 0.467 0.407
0.314 0.054 0.648
0.395 0.029 0.152
0.407 0.148 0.409
0.427 0.951 0.655
0.435 0.789 0.092
0.467 0.300 0.907
0.533 0.700 0.093
0.565 0.211 0.908
0.573 0.049 0.345
0.593 0.852 0.591
0.605 0.971 0.848
0.686 0.946 0.352
0.700 0.533 0.593
0.712 0.861 0.860
0.786 0.835 0.352
0.789 0.435 0.592
0.835 0.786 0.852
0.852 0.593 0.091
0.861 0.712 0.360
0.946 0.686 0.852
0.951 0.427 0.155
0.971 0.605 0.348
```

A plane-wave DFT calculation with PBE was carried out for crystalline Mg7P2H8O16 at its relaxed geometry.

Output
- Calculated density: 2.72 g/cm³
- DOS at the Fermi energy: 0.000 states/eV per atom
- Space-group type: P2_1/c (14)
- Total DFT energy (no corrections): -395.147 eV/cell

POSCAR file:
```
Mg7P2H8O16
1.0
5.311 0.000 0.000
0.000 11.743 0.000
-4.209 0.000 9.722
Mg P H O
14 4 16 32
Direct
0.000 0.000 0.000
0.000 0.500 0.500
0.051 0.178 0.789
0.051 0.322 0.289
0.253 0.710 0.995
0.253 0.790 0.495
0.254 0.070 0.504
0.254 0.430 0.004
0.746 0.570 0.996
0.746 0.930 0.496
0.747 0.210 0.505
0.747 0.290 0.005
0.949 0.678 0.711
0.949 0.822 0.211
0.318 0.579 0.288
0.318 0.921 0.788
0.682 0.079 0.212
0.682 0.421 0.712
0.260 0.247 0.127
0.260 0.253 0.627
0.299 0.526 0.803
0.299 0.974 0.303
0.327 0.157 0.307
0.327 0.343 0.807
0.346 0.630 0.652
0.346 0.870 0.152
0.654 0.130 0.848
0.654 0.370 0.348
0.673 0.657 0.193
0.673 0.843 0.693
0.701 0.026 0.697
0.701 0.474 0.197
0.740 0.747 0.373
0.740 0.753 0.873
0.160 0.183 0.623
0.160 0.317 0.123
0.163 0.654 0.589
0.163 0.846 0.089
0.184 0.570 0.125
0.184 0.930 0.625
0.202 0.015 0.854
0.202 0.485 0.354
0.246 0.698 0.327
0.246 0.802 0.827
0.317 0.564 0.889
0.317 0.936 0.389
0.335 0.199 0.389
0.335 0.301 0.889
0.366 0.069 0.166
0.366 0.431 0.666
0.634 0.569 0.334
0.634 0.931 0.834
0.665 0.699 0.111
0.665 0.801 0.611
0.683 0.064 0.611
0.683 0.436 0.111
0.754 0.198 0.173
0.754 0.302 0.673
0.798 0.515 0.646
0.798 0.985 0.146
0.816 0.070 0.375
0.816 0.430 0.875
0.837 0.154 0.911
0.837 0.346 0.411
0.840 0.683 0.877
0.840 0.817 0.377
```

A plane-wave DFT calculation with PBE was carried out for crystalline Rb2MgP4H8O16 at its relaxed geometry.

Output
- Calculated density: 2.47 g/cm³
- DOS at the Fermi energy: 0.000 states/eV per atom
- Space-group type: P-1 (2)
- Total DFT energy (no corrections): -189.277 eV/cell

POSCAR file:
```
Rb2MgP4H8O16
1.0
7.070 0.000 0.000
0.454 7.514 0.000
2.435 0.902 7.382
Rb Mg P H O
2 1 4 8 16
Direct
0.109 0.224 0.288
0.891 0.776 0.712
0.500 0.000 0.500
0.248 0.307 0.752
0.340 0.760 0.246
0.660 0.240 0.754
0.752 0.693 0.248
0.067 0.762 0.088
0.257 0.539 0.473
0.372 0.813 0.855
0.374 0.683 0.711
0.626 0.317 0.289
0.628 0.187 0.145
0.743 0.461 0.527
0.933 0.238 0.912
0.064 0.279 0.928
0.248 0.573 0.341
0.257 0.501 0.663
0.261 0.821 0.089
0.264 0.167 0.626
0.314 0.889 0.385
0.423 0.278 0.848
0.428 0.796 0.726
0.572 0.204 0.274
0.577 0.722 0.152
0.686 0.111 0.615
0.736 0.833 0.374
0.739 0.179 0.911
0.743 0.499 0.337
0.752 0.427 0.659
0.936 0.721 0.072
```

A plane-wave DFT calculation with PBE was carried out for crystalline MgTlPH12O10 at its relaxed geometry.

Output
- Calculated density: 2.98 g/cm³
- DOS at the Fermi energy: 0.000 states/eV per atom
- Space-group type: Pmn2_1 (31)
- Total DFT energy (no corrections): -268.197 eV/cell

POSCAR file:
```
MgTlPH12O10
1.0
6.928 0.000 0.000
0.000 6.142 0.000
0.000 0.000 11.316
Mg Tl P H O
2 2 2 24 20
Direct
0.000 0.130 0.000
0.500 0.870 0.500
0.000 0.116 0.348
0.500 0.884 0.848
0.000 0.499 0.630
0.500 0.501 0.130
0.000 0.680 0.966
0.000 0.777 0.834
0.118 0.512 0.118
0.176 0.664 0.430
0.178 0.876 0.646
0.205 0.299 0.809
0.247 0.125 0.633
0.253 0.875 0.133
0.295 0.701 0.309
0.322 0.124 0.146
0.324 0.336 0.930
0.382 0.488 0.618
0.500 0.223 0.334
0.500 0.320 0.466
0.618 0.488 0.618
0.676 0.336 0.930
0.678 0.124 0.146
0.705 0.701 0.309
0.747 0.875 0.133
0.753 0.125 0.633
0.795 0.299 0.809
0.822 0.876 0.646
0.824 0.664 0.430
0.882 0.512 0.118
0.000 0.453 0.076
0.000 0.525 0.494
0.000 0.729 0.689
0.000 0.817 0.920
0.185 0.375 0.671
0.208 0.029 0.123
0.227 0.237 0.890
0.273 0.763 0.390
0.292 0.971 0.623
0.315 0.625 0.171
0.500 0.183 0.420
0.500 0.271 0.189
0.500 0.475 0.994
0.500 0.547 0.576
0.685 0.625 0.171
0.708 0.971 0.623
0.727 0.763 0.390
0.773 0.237 0.890
0.792 0.029 0.123
0.815 0.375 0.671
```